Density functional theory data (PBE) for CaPr5Nd6 after structural relaxation.

formation enthalpy at 0 K: 0.32 eV per formula unit
raw total energy: -4.52 eV/atom

The structure in CIF format:
```
data_CaPr5Nd6
_space_group_name_H-M_alt 'C 1 2/m 1'
_space_group_IT_number 12
_cell_length_a 12.306
_cell_length_b 11.135
_cell_length_c 6.424
_cell_angle_alpha 90.00
_cell_angle_beta 100.03
_cell_angle_gamma 90.00
loop_
_space_group_symop_operation_xyz
'x,y,z'
'-x,-y,-z'
'-x,y,-z'
'x,-y,z'
'x+1/2,y+1/2,z'
'-x+1/2,-y+1/2,-z'
'-x+1/2,y+1/2,-z'
'x+1/2,-y+1/2,z'
loop_
_atom_site_label
_atom_site_type_symbol
_atom_site_fract_x
_atom_site_fract_y
_atom_site_fract_z
Ca1 Ca 0.000 0.000 0.000
Pr1 Pr 0.000 0.170 0.500
Pr2 Pr 0.000 0.337 0.000
Pr3 Pr 0.000 0.500 0.500
Nd1 Nd 0.247 0.331 0.746
Nd2 Nd 0.248 0.500 0.255
```

=====

Density functional theory data (PBE) for B2IN after structural relaxation.

formation energy from raw total energies: 1.0533 eV/atom
raw total energy: -4.75 eV/atom

The structure in CIF format:
```
data_B2IN
_space_group_name_H-M_alt 'I -4 2 d'
_space_group_IT_number 122
_space_group_name_Hall 'I -4 2bw'
_cell_length_a 5.021
_cell_length_b 5.021
_cell_length_c 7.180
_cell_angle_alpha 90.00
_cell_angle_beta 90.00
_cell_angle_gamma 90.00
loop_
_atom_site_label
_atom_site_type_symbol
_atom_site_fract_x
_atom_site_fract_y
_atom_site_fract_z
B1 B 0.121 0.250 0.125
I1 I 0.000 0.000 0.500
N1 N 0.000 0.000 0.000
```

=====

Density functional theory data (PBE) for Pd8Pb4Se after structural relaxation.

formation energy from raw total energies: -0.2117 eV/atom
raw total energy: -4.82 eV/atom

The structure in CIF format:
```
data_Pd8Pb4Se
_space_group_name_H-M_alt 'P m m 2'
_space_group_IT_number 25
_cell_length_a 4.020
_cell_length_b 4.182
_cell_length_c 14.946
_cell_angle_alpha 90.00
_cell_angle_beta 90.00
_cell_angle_gamma 90.00
loop_
_space_group_symop_operation_xyz
'x,y,z'
'-x,-y,z'
'-x,y,z'
'x,-y,z'
loop_
_atom_site_label
_atom_site_type_symbol
_atom_site_fract_x
_atom_site_fract_y
_atom_site_fract_z
Pd1 Pd 0.000 0.000 0.000
Pd2 Pd 0.000 0.000 0.281
Pd3 Pd 0.000 0.500 0.150
Pd4 Pd 0.000 0.500 0.551
Pd5 Pd 0.500 0.000 0.556
Pd6 Pd 0.500 0.000 0.847
Pd7 Pd 0.500 0.500 0.003
Pd8 Pd 0.500 0.500 0.704
Pb1 Pb 0.000 0.000 0.691
Pb2 Pb 0.000 0.500 0.871
Pb3 Pb 0.500 0.000 0.133
Pb4 Pb 0.500 0.500 0.324
Se1 Se 0.000 0.000 0.450
```

=====

Density functional theory data (PBE) for Tm2MnAg after structural relaxation.

formation enthalpy at 0 K: -0.40 eV per formula unit
raw total energy: -5.34 eV/atom

The structure in CIF format:
```
data_Tm2MnAg
_space_group_name_H-M_alt 'P 4/m m m'
_space_group_IT_number 123
_space_group_name_Hall '-P 4 2'
_cell_length_a 3.473
_cell_length_b 3.473
_cell_length_c 7.285
_cell_angle_alpha 90.00
_cell_angle_beta 90.00
_cell_angle_gamma 90.00
loop_
_atom_site_label
_atom_site_type_symbol
_atom_site_fract_x
_atom_site_fract_y
_atom_site_fract_z
Tm1 Tm 0.000 0.000 0.237
Mn1 Mn 0.500 0.500 0.000
Ag1 Ag 0.500 0.500 0.500
```

=====

Density functional theory data (PBE) for KTi3H after structural relaxation.

raw total energy: -4.83 eV/atom

The structure in CIF format:
```
data_KTi3H
_space_group_name_H-M_alt 'P m -3 m'
_space_group_IT_number 221
_space_group_name_Hall '-P 4 2 3'
_cell_length_a 4.379
_cell_length_b 4.379
_cell_length_c 4.379
_cell_angle_alpha 90.00
_cell_angle_beta 90.00
_cell_angle_gamma 90.00
loop_
_atom_site_label
_atom_site_type_symbol
_atom_site_fract_x
_atom_site_fract_y
_atom_site_fract_z
K1 K 0.000 0.000 0.000
Ti1 Ti 0.000 0.500 0.500
H1 H 0.500 0.500 0.500
```

=====

| no. | total moment (Bohr magnetons per cell) |
| --- | --- |
| 1 | 0.0 |
| 2 | 0.0 |
| 3 | 0.0 |
| 4 | 3.0 |
| 5 | 0.0 |